[1]
A geometry-optimized Tb4Pr5Th2 structure, computed with PBE-GGA.

Total magnetic moment ... 0.00 μB per cell
ΔH_f (0 K) ... 0.245 eV per atom
E ... -54.56 eV per cell
Energy above the most stable polymorph in this dataset ... 0.123 eV/atom
Mass density ... 7.80 g cm⁻³
Symmetry ... No. 71

abc: 11.1640 11.1640 11.1640
angles: 161.80 117.44 65.75
Atoms (fractional coordinates):
Tb 0.0869 0.0869 0.0000
Tb 0.2284 0.5000 0.7284
Tb 0.7716 0.5000 0.2716
Tb 0.9131 0.9131 0.0000
Pr 0.0327 0.3234 0.7093
Pr 0.3859 0.6766 0.7093
Pr 0.5000 0.0000 0.5000
Pr 0.6141 0.3234 0.2907
Pr 0.9673 0.6766 0.2907
Th 0.2988 0.2988 0.0000
Th 0.7012 0.7012 0.0000

[2]
A geometry-optimized TbPr6Th structure, computed with PBE-GGA.

Total magnetic moment ... 0.00 μB per cell
ΔH_f (0 K) ... 0.041 eV per atom
E ... -40.40 eV per cell
Mass density ... 7.31 g cm⁻³
Symmetry ... No. 123

abc: 5.1949 5.1949 10.4052
angles: 90.00 90.00 90.00
Atoms (fractional coordinates):
Tb 0.0000 0.0000 0.0000
Pr 0.0000 0.5000 0.2528
Pr 0.0000 0.5000 0.7472
Pr 0.5000 0.0000 0.2528
Pr 0.5000 0.0000 0.7472
Pr 0.5000 0.5000 0.0000
Pr 0.5000 0.5000 0.5000
Th 0.0000 0.0000 0.5000

[3]
A geometry-optimized Tb2Pr2Th structure, computed with PBE-GGA.

Total magnetic moment ... 0.00 μB per cell
ΔH_f (0 K) ... 0.063 eV per atom
E ... -25.92 eV per cell
Energy above the most stable polymorph in this dataset ... 0.048 eV/atom
Mass density ... 8.24 g cm⁻³
Symmetry ... No. 65

abc: 9.1124 9.1124 3.5581
angles: 90.00 90.00 145.45
Atoms (fractional coordinates):
Tb 0.1005 0.8995 0.0000
Tb 0.8995 0.1005 0.0000
Pr 0.3040 0.6960 0.5000
Pr 0.6960 0.3040 0.5000
Th 0.5000 0.5000 0.5000

[4]
A geometry-optimized Tb12PrTh5 structure, computed with PBE-GGA.

Total magnetic moment ... 0.00 μB per cell
ΔH_f (0 K) ... 0.047 eV per atom
E ... -96.59 eV per cell
Mass density ... 9.16 g cm⁻³
Symmetry ... No. 12

abc: 10.7228 10.7228 6.2028
angles: 106.69 106.69 59.75
Atoms (fractional coordinates):
Tb 0.0018 0.3312 0.8326
Tb 0.1614 0.8386 0.0000
Tb 0.1660 0.4971 0.6632
Tb 0.3312 0.0018 0.8326
Tb 0.3335 0.6665 0.5000
Tb 0.4971 0.1660 0.6632
Tb 0.5029 0.8340 0.3368
Tb 0.6665 0.3335 0.5000
Tb 0.6688 0.9982 0.1674
Tb 0.8340 0.5029 0.3368
Tb 0.8386 0.1614 0.0000
Tb 0.9982 0.6688 0.1674
Pr 0.5000 0.5000 0.0000
Th 0.0000 0.0000 0.5000
Th 0.1664 0.1664 0.3322
Th 0.3311 0.3311 0.1714
Th 0.6689 0.6689 0.8286
Th 0.8336 0.8336 0.6678

[5]
A geometry-optimized Tb6Pr3Th2 structure, computed with PBE-GGA.

Total magnetic moment ... 0.00 μB per cell
ΔH_f (0 K) ... 0.015 eV per atom
E ... -56.79 eV per cell
Mass density ... 8.40 g cm⁻³
Symmetry ... No. 166

abc: 32.2403 32.2403 32.2403
angles: 6.42 6.42 6.42
Atoms (fractional coordinates):
Tb 0.0927 0.0927 0.0927
Tb 0.1823 0.1823 0.1823
Tb 0.3641 0.3641 0.3641
Tb 0.6359 0.6359 0.6359
Tb 0.8177 0.8177 0.8177
Tb 0.9073 0.9073 0.9073
Pr 0.0000 0.0000 0.0000
Pr 0.2721 0.2721 0.2721
Pr 0.7279 0.7279 0.7279
Th 0.4553 0.4553 0.4553
Th 0.5447 0.5447 0.5447

[6]
A geometry-optimized Tb2Pr5Th2 structure, computed with PBE-GGA.

Total magnetic moment ... 0.00 μB per cell
ΔH_f (0 K) ... 0.057 eV per atom
E ... -47.48 eV per cell
Mass density ... 7.98 g cm⁻³
Symmetry ... No. 2

abc: 6.3156 6.3556 8.1212
angles: 82.92 75.01 80.17
Atoms (fractional coordinates):
Tb 0.2221 0.4469 0.1084
Tb 0.7779 0.5531 0.8916
Pr 0.0000 0.0000 0.0000
Pr 0.1159 0.2279 0.5495
Pr 0.4473 0.8839 0.2304
Pr 0.5527 0.1161 0.7696
Pr 0.8841 0.7721 0.4505
Th 0.3376 0.6590 0.6683
Th 0.6624 0.3410 0.3317

[7]
A geometry-optimized Tb4Pr3Th structure, computed with PBE-GGA.

Total magnetic moment ... 0.00 μB per cell
ΔH_f (0 K) ... 0.054 eV per atom
E ... -79.69 eV per cell
Energy above the most stable polymorph in this dataset ... 0.000 eV/atom
Mass density ... 7.91 g cm⁻³
Symmetry ... No. 31

abc: 11.7445 7.2878 6.3317
angles: 90.00 90.00 90.00
Atoms (fractional coordinates):
Tb 0.0000 0.1222 0.0000
Tb 0.0000 0.8724 0.5044
Tb 0.2481 0.8752 0.8389
Tb 0.2519 0.1248 0.3389
Tb 0.5000 0.1276 0.0044
Tb 0.5000 0.8778 0.5000
Tb 0.7481 0.1248 0.3389
Tb 0.7519 0.8752 0.8389
Pr 0.0000 0.3803 0.4968
Pr 0.2477 0.3764 0.8286
Pr 0.2523 0.6236 0.3286
Pr 0.5000 0.6197 0.9968
Pr 0.7477 0.6236 0.3286
Pr 0.7523 0.3764 0.8286
Th 0.0000 0.6311 0.0049
Th 0.5000 0.3689 0.5049

[8]
A geometry-optimized Tb2Pr7Th2 structure, computed with PBE-GGA.

Total magnetic moment ... 0.00 μB per cell
ΔH_f (0 K) ... 0.179 eV per atom
E ... -55.59 eV per cell
Energy above the most stable polymorph in this dataset ... 0.004 eV/atom
Mass density ... 7.60 g cm⁻³
Symmetry ... No. 12

abc: 8.2480 8.2480 6.1354
angles: 105.60 105.60 89.30
Atoms (fractional coordinates):
Tb 0.2217 0.2217 0.1035
Tb 0.7783 0.7783 0.8965
Pr 0.0000 0.0000 0.5000
Pr 0.0382 0.5907 0.3207
Pr 0.4093 0.9618 0.6793
Pr 0.4342 0.4342 0.7047
Pr 0.5658 0.5658 0.2953
Pr 0.5907 0.0382 0.3207
Pr 0.9618 0.4093 0.6793
Th 0.2142 0.7858 0.0000
Th 0.7858 0.2142 0.0000

- Which value of mass density does entry 5 give?
  8.40 g cm⁻³

- Which of these has the highest E?
  Tb2Pr2Th

- What is the formula in the third record?
  Tb2Pr2Th